Record 1
The following is a DFT calculation (GGA-PBE) of HoCu6 after structural relaxation.

Lattice parameters (Å, degrees): 5.4780 5.4780 5.4780 90.00 90.00 90.00
Closest atoms and distances in Å follow each position.
Space group Pm-3m (No. 221)
Symmetry-distinct sites (fractional):
Ho (0.0000, 0.0000, 0.0000) (multiplicity 1)  24 Cu 4.02
Cu (0.1974, 0.5000, 0.5000) (multiplicity 6)  5 Cu 2.16-2.34

Values from the calculation:
- polymorph energy (0 for the lowest one) (meV per atom) = 1054
- crystal system = cubic
- VASP energy (eV per cell) = -22.92
- volume (Å³/cell) = 164

***

Record 2
The following is a DFT calculation (GGA-PBE) of Rb2Tl6SnBi after structural relaxation.

Lattice parameters (Å, degrees): 8.1321 8.1321 43.0667 90.00 90.00 120.00
Closest atoms and distances in Å follow each position.
Space group R-3m (No. 166, hexagonal axes)
Symmetry-distinct sites (fractional):
Rb (0.0000, 0.0000, 0.1002) (multiplicity 6)  12 Tl 4.28-4.65, 1 Sn 4.31, 3 Bi 4.71
Rb (0.0000, 0.0000, 0.2779) (multiplicity 6)  12 Tl 3.94-4.29
Tl (0.0582, 0.5291, 0.8650) (multiplicity 18)  1 Sn 3.08, 1 Bi 3.34, 2 Tl 3.36
Tl (0.0689, 0.5345, 0.3078) (multiplicity 18)  1 Sn 3.04, 2 Tl 3.23, 1 Bi 3.39
Sn (0.0000, 0.0000, 0.0000) (multiplicity 3)  6 Tl 3.04
Sn (0.0000, 0.0000, 0.5000) (multiplicity 3)  6 Tl 3.08, 2 Bi 3.25
Bi (0.0000, 0.0000, 0.4246) (multiplicity 6)  1 Sn 3.25, 6 Tl 3.34-3.39

Values from the calculation:
- crystal system = trigonal
- VASP energy (eV per cell) = -144.57
- volume (Å³/cell) = 2466

***

Record 3
The following is a DFT calculation (GGA-PBE) of Sc2Ni21B6 after structural relaxation.

Lattice parameters (Å, degrees): 10.5694 10.5694 10.5694 90.00 90.00 90.00
Closest atoms and distances in Å follow each position.
Space group Fm-3m (No. 225)
Symmetry-distinct sites (fractional):
Sc (0.2500, 0.2500, 0.2500) (multiplicity 8)  4 Ni 2.48
Ni (0.0000, 0.0000, 0.0000) (multiplicity 4)  12 Ni 2.53
Ni (0.0000, 0.1690, 0.1690) (multiplicity 48)  2 B 2.08
Ni (0.1144, 0.1144, 0.3856) (multiplicity 32)  3 B 2.10
B (0.0000, 0.0000, 0.2706) (multiplicity 24)  8 Ni 2.08-2.10

Values from the calculation:
- crystal system = cubic
- VASP energy (eV per cell) = -740.61
- volume (Å³/cell) = 1181